Entry 1:
A plane-wave DFT calculation with PBE was carried out for a geometry-optimized Zr2CrAgN structure.

For the density, the calculation gives 7.4 g/cm3. The uncorrected energy is -8.159 eV/atom. The calculation puts the formation energy from raw total energies at -0.579 eV per atom. The density of states at the Fermi level comes out at 3.02 states/eV/f.u.

Cell and atoms, written as CIF:
```
data_Zr2CrAgN
_symmetry_space_group_name_H-M 'P 1'
_symmetry_Int_Tables_number 1
_cell_length_a 4.615
_cell_length_b 4.615
_cell_length_c 3.737
_cell_angle_alpha 90.00
_cell_angle_beta 90.00
_cell_angle_gamma 90.00
loop_
_symmetry_equiv_pos_as_xyz
'x,y,z'
loop_
_atom_site_label
_atom_site_type_symbol
_atom_site_fract_x
_atom_site_fract_y
_atom_site_fract_z
_atom_site_occupancy
Zr1 Zr 0.000 0.500 0.000 1
Zr2 Zr 0.500 0.000 0.000 1
Cr1 Cr 0.000 0.000 0.500 1
Ag1 Ag 0.500 0.500 0.500 1
N1 N 0.000 0.000 0.000 1
```



Entry 2:
A plane-wave DFT calculation with PBE was carried out for a geometry-optimized NaCr2Ag structure.

For the density, the calculation gives 5.9 g/cm3. The uncorrected energy is -4.734 eV/atom. The density of states at the Fermi level comes out at 3.71 states/eV/f.u. For the polymorph energy (0 for the lowest one), the calculation gives 0.000 eV/atom.

Cell and atoms, written as CIF:
```
data_NaCr2Ag
_symmetry_space_group_name_H-M 'P 1'
_symmetry_Int_Tables_number 1
_cell_length_a 10.730
_cell_length_b 10.730
_cell_length_c 10.730
_cell_angle_alpha 160.89
_cell_angle_beta 160.89
_cell_angle_gamma 27.15
loop_
_symmetry_equiv_pos_as_xyz
'x,y,z'
loop_
_atom_site_label
_atom_site_type_symbol
_atom_site_fract_x
_atom_site_fract_y
_atom_site_fract_z
_atom_site_occupancy
Na1 Na 0.000 0.000 0.000 1
Na2 Na 0.750 0.250 0.500 1
Cr1 Cr 0.186 0.625 0.061 1
Cr2 Cr 0.375 0.436 0.561 1
Cr3 Cr 0.564 0.125 0.939 1
Cr4 Cr 0.875 0.814 0.439 1
Ag1 Ag 0.250 0.750 0.500 1
Ag2 Ag 0.500 0.500 0.000 1
```



Entry 3:
A plane-wave DFT calculation with PBE was carried out for a geometry-optimized NaCrAg2 structure.

For the density, the calculation gives 5.7 g/cm3. The uncorrected energy is -3.615 eV/atom. The density of states at the Fermi level comes out at 1.44 states/eV/f.u. For the polymorph energy (0 for the lowest one), the calculation gives 0.184 eV/atom.

Cell and atoms, written as CIF:
```
data_NaCrAg2
_symmetry_space_group_name_H-M 'P 1'
_symmetry_Int_Tables_number 1
_cell_length_a 6.128
_cell_length_b 6.128
_cell_length_c 6.128
_cell_angle_alpha 102.87
_cell_angle_beta 102.87
_cell_angle_gamma 123.67
loop_
_symmetry_equiv_pos_as_xyz
'x,y,z'
loop_
_atom_site_label
_atom_site_type_symbol
_atom_site_fract_x
_atom_site_fract_y
_atom_site_fract_z
_atom_site_occupancy
Na1 Na 0.000 0.000 0.000 1
Na2 Na 0.750 0.250 0.500 1
Cr1 Cr 0.250 0.750 0.500 1
Cr2 Cr 0.500 0.500 0.000 1
Ag1 Ag 0.141 0.125 0.516 1
Ag2 Ag 0.375 0.859 0.984 1
Ag3 Ag 0.609 0.625 0.484 1
Ag4 Ag 0.875 0.391 0.016 1
```



What is the formula in the first record?
Zr2CrAgN